DFT (GGA-PBE) results for a relaxed YMgBiPd crystal.

extended XYZ file:
```
4
Lattice="5.094 0.000 0.000 2.547 4.411 0.000 2.547 1.470 4.159" Properties=species:S:1:pos:R:3 pbc="T T T"
Pd 0.000 0.000 0.000
Y 7.640 4.411 3.119
Bi 5.094 2.941 2.079
Mg 2.547 1.470 1.040
```

Properties
- energy relative to the elements (meV per atom) = -531
- symmetry = No. 216
- energy (eV per atom) = -4.8142